Na2BeCl4 | meta-GGA SCAN | single point on PBEsol structure

```
28
Lattice="13.661 0.000 0.000 0.000 8.119 0.000 0.000 0.000 6.131" Properties=species:S:1:pos:R:3 pbc="T T T"
Na 0.000 0.000 0.000
Na 0.000 4.059 0.000
Na 3.083 2.030 3.020
Na 3.748 6.089 6.085
Na 6.830 0.000 3.065
Na 6.830 4.059 3.065
Na 9.913 2.030 0.046
Na 10.578 6.089 3.111
Be 1.267 6.089 2.522
Be 5.563 2.030 5.587
Be 8.097 6.089 0.544
Be 12.394 2.030 3.609
Cl 0.646 2.030 4.368
Cl 1.276 6.089 4.548
Cl 2.211 4.445 1.754
Cl 2.211 7.733 1.754
Cl 4.619 0.386 4.819
Cl 4.619 3.674 4.819
Cl 5.555 2.030 1.482
Cl 6.184 6.089 1.303
Cl 7.477 2.030 4.828
Cl 8.106 6.089 4.649
Cl 9.042 4.445 1.311
Cl 9.042 7.733 1.311
Cl 11.449 0.386 4.377
Cl 11.449 3.674 4.377
Cl 12.385 2.030 1.583
Cl 13.014 6.089 1.763
```

Computed properties:
- Energy: -8.2450 eV/atom
- SG: Pnma
- ΔE_f (raw): -1.86 eV/atom